The following is a DFT calculation (PBE) of an optimized crystal structure of Sb2HPtPb.

Geometry as POSCAR:
```
Sb2HPtPb
1.0
5.5899 0.0000 0.0000
0.0000 5.5899 0.0000
0.0000 0.0000 3.4564
Sb H Pt Pb
2 1 1 1
direct
0.0000 0.5000 0.0000
0.5000 0.0000 0.0000
0.0000 0.0000 0.5000
0.0000 0.0000 0.0000
0.5000 0.5000 0.5000
```

Values from the calculation:
E_tot = -21.5 eV for the cell shown
ρ = 9.94 Mg/m³
DOS(E_F) = 1.75 states/eV/f.u.
space-group type = No. 123